Computed, not measured: a relaxed structure of FeAg2Pd2 at the GGA-PBE level of DFT.

For the formation energy, the calculation gives 455 meV/atom.

It has space group I4/mmm (No. 139), with a = 3.6362 Å, b = 3.6362 Å, c = 13.7104 Å, α = 90.00°, β = 90.00° and γ = 90.00°. Symmetry generates all atoms from Fe at (0.0000, 0.0000, 0.0000), Ag at (0.0000, 0.5000, 0.2500) and Pd at (0.0000, 0.0000, 0.4067).

***

Computed, not measured: a relaxed structure of Zn5Tc3 at the GGA-PBE level of DFT.

For the formation energy, the calculation gives 278 meV/atom.

It has space group C2 (No. 5), with a = 11.0683 Å, b = 10.0203 Å, c = 4.7165 Å, α = 90.00°, β = 115.13° and γ = 90.00°. Symmetry generates all atoms from Zn at (0.0000, 0.0000, 0.0000), Zn at (0.0000, 0.9997, 0.5000), Zn at (0.0534, 0.2503, 0.3035), Zn at (0.0526, 0.7499, 0.8026), Zn at (0.2503, 0.0528, 0.5002), Zn at (0.2498, 0.4467, 0.9999), Tc at (0.0000, 0.4996, 0.0000), Tc at (0.0000, 0.5007, 0.5000), Tc at (0.1989, 0.1989, 0.9486) and Tc at (0.1998, 0.8004, 0.4497).

***

Computed, not measured: a relaxed structure of SnHg2Pd2 at the GGA-PBE level of DFT.

For the formation energy, the calculation gives -175 meV/atom.

It has space group P4/mbm (No. 127), with a = 7.2503 Å, b = 7.2503 Å, c = 3.8079 Å, α = 90.00°, β = 90.00° and γ = 90.00°. Symmetry generates all atoms from Sn at (0.0000, 0.0000, 0.0000), Hg at (0.1516, 0.3484, 0.5000) and Pd at (0.1481, 0.6481, 0.0000).

***

Computed, not measured: a relaxed structure of Ho2Cd3Au at the GGA-PBE level of DFT.

For the formation energy, the calculation gives -436 meV/atom.

It has space group Pmm2 (No. 25), with a = 3.4091 Å, b = 4.8967 Å, c = 8.4515 Å, α = 90.00°, β = 90.00° and γ = 90.00°. Symmetry generates all atoms from Ho at (0.0000, 0.0000, 0.0000), Ho at (0.0000, 0.5000, 0.4579), Cd at (0.5000, 0.0000, 0.6445), Cd at (0.5000, 0.5000, 0.1401), Cd at (0.5000, 0.5000, 0.8060) and Au at (0.5000, 0.0000, 0.3112).

***

Computed, not measured: a relaxed structure of TaTl2Br at the GGA-PBE level of DFT.

The value obtained for the formation energy from raw total energies is 819 meV/atom.

It has space group I4/mmm (No. 139), with a = 4.4089 Å, b = 4.4089 Å, c = 9.8868 Å, α = 90.00°, β = 90.00° and γ = 90.00°. Symmetry generates all atoms from Ta at (0.0000, 0.0000, 0.0000), Tl at (0.0000, 0.5000, 0.2500) and Br at (0.0000, 0.0000, 0.5000).

***

Computed, not measured: a relaxed structure of RbPIr2 at the GGA-PBE level of DFT.

For the formation energy, the calculation gives -189 meV/atom.

It has space group P2_1 (No. 4), with a = 6.6176 Å, b = 4.8916 Å, c = 6.7720 Å, α = 90.00°, β = 109.89° and γ = 90.00°. Symmetry generates all atoms from Rb at (0.2489, 0.0000, 0.4877), P at (0.2883, 0.3035, 0.9678), Ir at (0.0108, 0.0556, 0.9544) and Ir at (0.3697, 0.7535, 0.0104).

***

Computed, not measured: a relaxed structure of ScBrF2 at the GGA-PBE level of DFT.

The value obtained for the formation energy from raw total energies is -2771 meV/atom.

It has space group R-3m (No. 166, hexagonal axes), with a = 3.7003 Å, b = 3.7003 Å, c = 15.7833 Å, α = 90.00°, β = 90.00° and γ = 120.00°. Symmetry generates all atoms from Sc at (0.0000, 0.0000, 0.0000), Br at (0.0000, 0.0000, 0.5000) and F at (0.0000, 0.0000, 0.3026).

***

Computed, not measured: a relaxed structure of Na2TaNbO6 at the GGA-PBE level of DFT.

The value obtained for the formation energy from raw total energies is -2519 meV/atom.

It has space group P4mm (No. 99), with a = 5.6214 Å, b = 5.6214 Å, c = 4.0701 Å, α = 90.00°, β = 90.00° and γ = 90.00°. Symmetry generates all atoms from Na at (0.0000, 0.5000, 0.0000), Ta at (0.0000, 0.0000, 0.5430), Nb at (0.5000, 0.5000, 0.5351), O at (0.0000, 0.0000, 0.0777), O at (0.2492, 0.2492, 0.5878) and O at (0.5000, 0.5000, 0.0768).

***

Computed, not measured: a relaxed structure of CaTePb2 at the GGA-PBE level of DFT.

The value obtained for the formation energy from raw total energies is -500 meV/atom.

It has space group P2/m (No. 10), with a = 4.4366 Å, b = 4.6341 Å, c = 6.7266 Å, α = 90.00°, β = 106.06° and γ = 90.00°. Symmetry generates all atoms from Ca at (0.0000, 0.0000, 0.0000), Te at (0.5000, 0.5000, 0.0000), Pb at (0.0000, 0.0000, 0.5000) and Pb at (0.5000, 0.5000, 0.5000).

***

Across the entries above, total magnetization takes the values 7.7, 4.4, 0.0, 0.0, 1.4, 0.0, 0.0, 0.0, 0.0 μB per cell, respectively.